(1)
ErPuZn GGA-PBE optimized geometry; total energy = -20.4 eV per cell; density = 10.66 g/cm3; density of states at the Fermi level = 7.13 states/eV/cell; symmetry = I4mm; energy of formation = -0.192 eV per formula unit
1.0
-1.734 1.734 6.168
1.734 -1.734 6.168
1.734 1.734 -6.168
Er Pu Zn
1 1 1
direct
0.000 0.000 0.000
0.704 0.704 0.000
0.357 0.357 0.000

---

(2)
ErPuZn4 GGA-PBE optimized geometry; total energy = -25.3 eV per cell; density = 9.78 g/cm3; density of states at the Fermi level = 9.62 states/eV/cell; symmetry = F-43m; energy of formation = -1.330 eV per formula unit
1.0
0.000 3.852 3.852
3.852 0.000 3.852
3.852 3.852 0.000
Er Pu Zn
1 1 4
direct
0.000 0.000 0.000
0.250 0.250 0.250
0.125 0.625 0.625
0.625 0.125 0.625
0.625 0.625 0.125
0.625 0.625 0.625

---

(3)
ErPuZn GGA-PBE optimized geometry; total energy = -41.0 eV per cell; density = 11.13 g/cm3; density of states at the Fermi level = 16.12 states/eV/cell; symmetry = Cmcm; energy of formation = -0.326 eV per formula unit
1.0
1.806 -7.988 0.000
1.806 7.988 0.000
0.000 0.000 4.929
Er Pu Zn
2 2 2
direct
0.076 0.924 0.750
0.924 0.076 0.250
0.238 0.762 0.250
0.762 0.238 0.750
0.417 0.583 0.750
0.583 0.417 0.250

---

(4)
ErPuZn GGA-PBE optimized geometry; total energy = -20.0 eV per cell; density = 10.98 g/cm3; density of states at the Fermi level = 6.78 states/eV/cell; symmetry = P3m1; energy of formation = 0.169 eV per formula unit
1.0
5.065 0.000 0.000
-2.533 4.387 0.000
0.000 0.000 3.246
Er Pu Zn
1 1 1
direct
0.000 0.000 0.000
0.667 0.333 0.429
0.333 0.667 0.729

---

(5)
ErPuZn4 GGA-PBE optimized geometry; total energy = -25.3 eV per cell; density = 9.45 g/cm3; density of states at the Fermi level = 13.53 states/eV/cell; symmetry = P6/mmm; energy of formation = -1.311 eV per formula unit
1.0
4.593 0.000 0.000
-2.296 3.977 0.000
0.000 0.000 6.472
Er Pu Zn
1 1 4
direct
0.000 0.000 0.000
0.000 0.000 0.500
0.333 0.667 0.250
0.333 0.667 0.750
0.667 0.333 0.250
0.667 0.333 0.750

---

(6)
ErPuZn17 GGA-PBE optimized geometry; total energy = -44.0 eV per cell; density = 8.25 g/cm3; density of states at the Fermi level = 14.93 states/eV/cell; symmetry = R3m; energy of formation = -3.419 eV per formula unit
1.0
4.486 2.590 4.397
-4.486 2.590 4.397
0.000 -5.180 4.397
Er Pu Zn
1 1 17
direct
0.000 0.000 0.000
0.330 0.330 0.330
0.019 0.019 0.504
0.019 0.504 0.019
0.166 0.664 0.664
0.312 0.312 0.827
0.312 0.827 0.312
0.367 0.666 0.962
0.367 0.962 0.666
0.504 0.019 0.019
0.566 0.566 0.566
0.664 0.166 0.664
0.664 0.664 0.166
0.666 0.367 0.962
0.666 0.962 0.367
0.766 0.766 0.766
0.827 0.312 0.312
0.962 0.367 0.666
0.962 0.666 0.367

---

(7)
Er2PuZn6 GGA-PBE optimized geometry; total energy = -33.7 eV per cell; density = 9.08 g/cm3; density of states at the Fermi level = 13.40 states/eV/cell; symmetry = P6/mmm; energy of formation = -2.552 eV per formula unit
1.0
7.851 0.000 0.000
-3.925 6.799 0.000
0.000 0.000 3.328
Er Pu Zn
2 1 6
direct
0.333 0.667 0.000
0.667 0.333 0.000
0.000 0.000 0.000
0.000 0.336 0.500
0.000 0.664 0.500
0.336 0.000 0.500
0.336 0.336 0.500
0.664 0.000 0.500
0.664 0.664 0.500

---

(8)
ErPu3Zn8 GGA-PBE optimized geometry; total energy = -59.7 eV per cell; density = 10.40 g/cm3; density of states at the Fermi level = 32.88 states/eV/cell; symmetry = P3m1; energy of formation = -1.950 eV per formula unit
1.0
5.501 0.000 0.000
-2.751 4.764 0.000
0.000 0.000 8.669
Er Pu Zn
1 3 8
direct
0.000 0.000 0.000
0.000 0.000 0.382
0.667 0.333 0.495
0.667 0.333 0.859
0.167 0.333 0.685
0.167 0.833 0.685
0.333 0.667 0.433
0.333 0.667 0.935
0.502 0.004 0.183
0.502 0.498 0.183
0.667 0.833 0.685
0.996 0.498 0.183